# 1
# BaScHSe2

Crystalline BaScHSe2 at its relaxed geometry (PBE, the Alexandria database).

## Properties
For the calculated volume, the calculation gives 23.9 A^3/atom. The calculated total energy comes out at -26.0 eV for the cell shown. The space-group type is P4/mmm, No. 123. The calculation puts the total magnetization at 0.0 μB per formula unit.

Cell and atoms, written as POSCAR:
```
BaScHSe2
1.0
-0.359 -5.064 1.647
-0.680 -1.593 -5.048
4.148 -0.432 -0.422
Sc Se H Ba
1 2 1 1
Direct
0.000 0.000 0.000 Sc
0.500 0.000 0.000 Se
0.000 0.500 0.000 Se
0.000 0.000 0.500 H
0.500 0.500 0.500 Ba
```

# 2
# CaMg2Hg

Crystalline CaMg2Hg at its relaxed geometry (PBE, the Alexandria database).

## Properties
For the calculated volume, the calculation gives 25.3 A^3/atom. The formation enthalpy at 0 K is -0.225 eV per atom. The space-group type is P4mm, No. 99. The calculation puts the total magnetization at 0.0 μB per formula unit.

Cell and atoms, written as POSCAR:
```
CaMg2Hg
1.0
3.514 0.000 0.000
0.000 3.514 0.000
0.000 0.000 8.189
Hg Ca Mg
1 1 2
Direct
0.500 0.500 0.771 Hg
0.000 0.000 0.520 Ca
0.500 0.500 0.225 Mg
0.000 0.000 0.985 Mg
```

# 3
# Pr2Tl3Pd

Crystalline Pr2Tl3Pd at its relaxed geometry (PBE, the Alexandria database).

## Properties
For the calculated volume, the calculation gives 27.1 A^3/atom. The formation enthalpy at 0 K is -0.410 eV per atom. The space-group type is Pmm2, No. 25. The calculation puts the total magnetization at 0.0 μB per formula unit.

Cell and atoms, written as POSCAR:
```
Pr2Tl3Pd
1.0
-1.691 -2.109 -2.583
-2.118 -2.746 3.629
-6.817 5.365 0.081
Pr Tl Pd
2 3 1
Direct
0.000 0.500 0.028 Pr
0.000 0.000 0.484 Pr
0.500 0.500 0.649 Tl
0.500 0.000 0.179 Tl
0.500 0.000 0.835 Tl
0.500 0.500 0.325 Pd
```

# 4
# ThTc2

Crystalline ThTc2 at its relaxed geometry (PBE, the Alexandria database).

## Properties
As for the energy above the lowest structure with this stoichiometry: 0.015 eV per atom. For the calculated volume, the calculation gives 19.6 A^3/atom. The formation enthalpy at 0 K is -0.117 eV per atom. The space-group type is P6_3/mmc, No. 194. The calculation puts the total magnetization at 0.0 μB per formula unit.

Cell and atoms, written as POSCAR:
```
ThTc2
1.0
5.297 0.000 0.000
-2.649 4.587 0.000
0.000 0.000 19.351
Tc Th
16 8
Direct
0.164 0.836 0.750 Tc
0.000 0.500 0.500 Tc
0.000 0.500 0.000 Tc
0.836 0.164 0.250 Tc
0.500 0.000 0.500 Tc
0.333 0.667 0.873 Tc
0.836 0.673 0.250 Tc
0.333 0.667 0.627 Tc
0.327 0.164 0.250 Tc
0.500 0.500 0.000 Tc
0.164 0.327 0.750 Tc
0.667 0.333 0.373 Tc
0.673 0.836 0.750 Tc
0.667 0.333 0.127 Tc
0.500 0.500 0.500 Tc
0.500 0.000 0.000 Tc
0.000 0.000 0.907 Th
0.667 0.333 0.656 Th
0.667 0.333 0.844 Th
0.000 0.000 0.093 Th
0.000 0.000 0.407 Th
0.333 0.667 0.156 Th
0.333 0.667 0.344 Th
0.000 0.000 0.593 Th
```